# 1
VASP calculation (GGA-PBEsol) on Y4Pt3 after structural relaxation.

Values from the calculation:
The electronic total energy comes out at -7.9451 eV per atom. As for the density of states at the Fermi level: 4.7 states/eV/f.u. The value obtained for the volume is 22.5 A^3/atom. Its energy of formation from the pure elements is -1.06 eV/atom.

Unit cell a=11.9195 b=11.9195 c=7.6875 alpha=90.00 beta=90.00 gamma=120.00
Space group R-3 (No. 148, hexagonal axes)
Unique sites:
Y 0.0000 0.0000 0.0000 x3
Y 0.0000 0.0000 0.5000 x3
Y 0.0307 0.4504 0.3021 x18
Pt 0.0441 0.2132 0.2607 x18

---

# 2
VASP calculation (GGA-PBEsol) on Y5Pt3 after structural relaxation.

Values from the calculation:
The electronic total energy comes out at -7.7870 eV per atom. As for the density of states at the Fermi level: 11.5 states/eV/f.u. The value obtained for the volume is 22.9 A^3/atom. Its energy of formation from the pure elements is -0.91 eV/atom.

Unit cell a=11.1312 b=11.1312 c=5.9027 alpha=90.00 beta=90.00 gamma=90.00
Space group I4/mcm (No. 140)
Unique sites:
Y 0.0000 0.5000 0.2500 x4
Y 0.0840 0.2106 0.0000 x16
Pt 0.0000 0.0000 0.2500 x4
Pt 0.1587 0.3413 0.5000 x8

---

# 3
VASP calculation (GGA-PBEsol) on Y2Pt after structural relaxation.

Values from the calculation:
The electronic total energy comes out at -7.7227 eV per atom. As for the density of states at the Fermi level: 2.9 states/eV/f.u. The value obtained for the volume is 24.1 A^3/atom. Its energy of formation from the pure elements is -0.85 eV/atom.

Unit cell a=7.3163 b=7.3163 c=4.6784 alpha=90.00 beta=90.00 gamma=120.00
Space group P-62m (No. 189)
Unique sites:
Y 0.0000 0.2609 0.0000 x3
Y 0.0000 0.5900 0.5000 x3
Pt 0.0000 0.0000 0.5000 x1
Pt 0.3333 0.6667 0.0000 x2

---

# 4
VASP calculation (GGA-PBEsol) on Y2Pt after structural relaxation.

Values from the calculation:
The electronic total energy comes out at -7.7332 eV per atom. As for the density of states at the Fermi level: 2.6 states/eV/f.u. The value obtained for the volume is 24.9 A^3/atom. Its energy of formation from the pure elements is -0.86 eV/atom.

Unit cell a=12.0089 b=3.7734 c=7.9389 alpha=90.00 beta=123.69 gamma=90.00
Space group C2/m (No. 12)
Unique sites:
Y 0.0871 0.0000 0.3810 x4
Y 0.1644 0.5000 0.0736 x4
Pt 0.1340 0.5000 0.6884 x4

---

# 5
VASP calculation (GGA-PBEsol) on Y2Pt after structural relaxation.

Values from the calculation:
The electronic total energy comes out at -7.5449 eV per atom. As for the density of states at the Fermi level: 2.7 states/eV/f.u. The value obtained for the volume is 25.9 A^3/atom. Its energy of formation from the pure elements is -0.68 eV/atom.

Unit cell a=3.4333 b=3.4333 c=26.3286 alpha=90.00 beta=90.00 gamma=90.00
Space group I4_1/amd (No. 141, origin choice 2)
Unique sites:
Y 0.0000 0.2500 0.3121 x8
Pt 0.0000 0.2500 0.8750 x4

---

# 6
VASP calculation (GGA-PBEsol) on Y3Pt2 after structural relaxation.

Values from the calculation:
The electronic total energy comes out at -7.8775 eV per atom. As for the density of states at the Fermi level: 2.6 states/eV/f.u. The value obtained for the volume is 23.8 A^3/atom. Its energy of formation from the pure elements is -1.00 eV/atom.

Unit cell a=4.8128 b=4.8128 c=5.9335 alpha=90.00 beta=90.00 gamma=120.00
Space group P-3m1 (No. 164)
Unique sites:
Y 0.0000 0.0000 0.0000 x1
Y 0.3333 0.6667 0.3363 x2
Pt 0.3333 0.6667 0.8267 x2

---

# 7
VASP calculation (GGA-PBEsol) on YZn2Pt after structural relaxation.

Values from the calculation:
The electronic total energy comes out at -4.8045 eV per atom. As for the density of states at the Fermi level: 2.1 states/eV/f.u. The value obtained for the volume is 17.4 A^3/atom. Its energy of formation from the pure elements is -0.57 eV/atom.

Unit cell a=6.5292 b=6.5292 c=6.5292 alpha=90.00 beta=90.00 gamma=90.00
Space group F-43m (No. 216)
Unique sites:
Y 0.0000 0.0000 0.0000 x4
Zn 0.0000 0.0000 0.5000 x4
Zn 0.2500 0.2500 0.7500 x4
Pt 0.2500 0.2500 0.2500 x4

---

# 8
VASP calculation (GGA-PBEsol) on Y2ZnPt after structural relaxation.

Values from the calculation:
The electronic total energy comes out at -6.3354 eV per atom. As for the density of states at the Fermi level: 2.4 states/eV/f.u. The value obtained for the volume is 21.1 A^3/atom. Its energy of formation from the pure elements is -0.79 eV/atom.

Unit cell a=3.4953 b=3.4953 c=6.9096 alpha=90.00 beta=90.00 gamma=90.00
Space group P4/mmm (No. 123)
Unique sites:
Y 0.0000 0.0000 0.2416 x2
Zn 0.5000 0.5000 0.5000 x1
Pt 0.5000 0.5000 0.0000 x1